PuSbO2 | PBE | optimized geometry

a = 4.1782 Å, b = 4.1782 Å, c = 5.7816 Å
α = 68.82°, β = 68.82°, γ = 60.00°
Site moments in Bohr magnetons follow the coordinates.
Element x y z (fractional)
Pu: 0.0000 0.0000 0.0000  4.85
Sb: 0.5000 0.5000 0.5000  0.00
O: 0.1295 0.1295 0.6116  -0.12
O: 0.8705 0.8705 0.3884  -0.12

Output
final energy	-8.30	eV per atom

Sr2CoMoRh | PBE | optimized geometry

a = 5.9167 Å, b = 4.5749 Å, c = 5.9167 Å
α = 90.00°, β = 90.00°, γ = 90.00°
Site moments in Bohr magnetons follow the coordinates.
Element x y z (fractional)
Sr: 0.0000 0.0000 0.5000  -0.06
Sr: 0.5000 0.0000 0.0000  -0.06
Rh: 0.0000 0.5000 0.0000  -0.16
Mo: 0.0000 0.0000 0.0000  -1.02
Co: 0.5000 0.5000 0.5000  2.00

Output
formation enthalpy at 0 K	1.24	eV per atom

Cs2InHgSb | PBE | optimized geometry

a = 7.4856 Å, b = 7.4856 Å, c = 5.8140 Å
α = 90.00°, β = 90.00°, γ = 90.00°
Element x y z (fractional)
Cs: 0.0000 0.5000 0.0000
Cs: 0.5000 0.0000 0.0000
In: 0.0000 0.0000 0.5000
Sb: 0.0000 0.0000 0.0000
Hg: 0.5000 0.5000 0.5000

Output
final energy	-1.87	eV per atom

PaSnRh | PBE | optimized geometry

a = 3.4362 Å, b = 4.6480 Å, c = 4.6480 Å
α = 120.00°, β = 90.00°, γ = 90.00°
Element x y z (fractional)
Pa: 0.9999 0.0000 0.0000
Sn: 0.4998 0.6667 0.3333
Rh: 0.5003 0.3333 0.6667

Output
formation enthalpy at 0 K	-0.58	eV per atom